VASP calculation (SCAN) on a crystal of TaCdRh3 relaxed with PBEsol.

```
TaCdRh3
1.0
-1.2683 0.7764 -4.4094
-4.0873 -2.0713 0.8109
-1.8274 4.0940 1.2465
Cd Rh Ta
1 3 1
direct
0.5000 0.5000 0.5000
0.0000 0.5000 0.0000
0.0000 0.0000 0.5000
0.5000 0.0000 0.0000
0.0000 0.0000 0.0000
```

Calculated formation energy   3.44 eV/f.u.

VASP calculation (SCAN) on a crystal of SbAsPS2 relaxed with PBEsol.

```
SbAsPS2
1.0
-3.1206 -3.0092 -1.6349
2.1964 -3.4556 2.1682
-2.7046 0.7054 3.8640
Sb As S P
1 1 2 1
direct
0.5000 0.5000 0.5000
0.0000 0.0000 0.0000
0.0000 0.5000 0.0000
0.5000 0.0000 0.0000
0.0000 0.0000 0.5000
```

E   -16.82 eV per atom

VASP calculation (SCAN) on a crystal of LaZnIr relaxed with PBEsol.

```
LaZnIr
1.0
-4.5115 1.0599 -0.8267
-2.7448 -3.0397 -2.3209
-3.4148 -2.3025 2.2800
Ir La Zn
1 1 1
direct
0.5000 0.5000 0.5000
0.2500 0.2500 0.2500
0.0000 0.0000 0.0000
```

Calculated formation energy   0.66 eV/f.u.

VASP calculation (SCAN) on a crystal of Li2ZnSb relaxed with PBEsol.

```
Li2ZnSb
1.0
-4.4247 1.0007 1.2110
-1.6747 -1.4144 4.1522
-0.8548 3.1440 3.3809
Sb Zn Li
1 1 2
direct
0.5000 0.5000 0.5000
0.7500 0.7500 0.7500
0.0000 0.0000 0.0000
0.2500 0.2500 0.2500
```

E   -14.14 eV per atom

VASP calculation (SCAN) on a crystal of Zn3Os relaxed with PBEsol.

```
Zn3Os
1.0
-2.6765 -3.0217 1.3650
2.5999 -3.3610 -2.3422
2.9251 -0.6821 4.2258
Os Zn
2 6
direct
0.0000 0.6513 0.0000
0.5000 0.3487 0.5000
0.5000 0.3418 0.0000
0.0000 0.1542 0.7510
0.5000 0.8458 0.7490
0.0000 0.6582 0.5000
0.0000 0.1542 0.2490
0.5000 0.8458 0.2510
```

Calculated formation energy   0.25 eV/f.u.

VASP calculation (SCAN) on a crystal of HfCoHg2 relaxed with PBEsol.

```
HfCoHg2
1.0
4.5976 0.0000 0.0000
2.2988 3.9816 0.0000
2.2988 1.3272 3.7539
Co Hf Hg
1 1 2
direct
0.0000 0.0000 0.0000
0.5000 0.5000 0.5000
0.2500 0.2500 0.2500
0.7500 0.7500 0.7500
```

Calculated formation energy   0.87 eV/f.u.

VASP calculation (SCAN) on a crystal of SrCa2 relaxed with PBEsol.

```
SrCa2
1.0
3.9638 0.0000 0.0000
-1.9819 3.4328 0.0000
0.0000 0.0000 9.6999
Sr Ca
1 2
direct
0.0000 0.0000 0.0000
0.3333 0.6667 0.3407
0.6667 0.3333 0.6593
```

Calculated formation energy   0.07 eV/f.u.

VASP calculation (SCAN) on a crystal of La2Te4Pb relaxed with PBEsol.

```
La2Te4Pb
1.0
8.2979 -0.0030 0.0000
-2.7470 7.8300 0.0000
-2.7754 -3.9135 6.7702
La Te Pb
4 8 2
direct
0.6250 0.7438 0.6188
0.1250 0.0062 0.3812
0.2562 0.8750 0.8812
0.9938 0.3750 0.1188
0.8793 0.6281 0.4041
0.8781 0.6293 0.9041
0.3707 0.2748 0.2488
0.7252 0.9740 0.0959
0.5248 0.1207 0.7488
0.2240 0.4752 0.5959
0.3719 0.7760 0.2512
0.0260 0.1219 0.7512
0.7500 0.2500 0.5000
0.5000 0.5000 0.0000
```

E   -45.77 eV per atom